VASP calculation (GGA+U) on crystalline FeP2RuO at its relaxed geometry.

Structure (POSCAR):
```
FeP2RuO
1.0
4.776 0.000 0.000
0.000 4.776 0.000
0.000 0.000 3.649
Fe P Ru O
1 2 1 1
Direct
0.000 0.000 0.000
0.000 0.500 0.500
0.500 0.000 0.500
0.500 0.500 0.500
0.500 0.500 0.000
```

Summary:
- E: -28.90 eV for the cell shown
- Volume: 83.3 Å³/cell
- Spin magnetization: 2.7 μB per cell